Record 1
ZnBi2Se4 GGA-PBE optimized geometry; space group = C2/m, No. 12
1.0
-3.829 1.445 -5.915
-6.125 -1.177 -3.583
-0.693 10.213 10.799
Bi Se Zn
4 8 2
direct
0.351 0.351 0.136
0.225 0.225 0.373
0.775 0.775 0.627
0.649 0.649 0.864
0.671 0.671 0.057
0.011 0.011 0.166
0.849 0.849 0.332
0.606 0.606 0.431
0.394 0.394 0.569
0.151 0.151 0.668
0.989 0.989 0.834
0.329 0.329 0.943
0.000 0.000 0.000
0.000 0.000 0.500

***

Record 2
TaSiBi GGA-PBE optimized geometry; space group = F-43m, No. 216; ΔE to the lowest computed polymorph = 5 meV per atom; M_tot = 0.000 μB/atom
1.0
-1.575 2.614 3.540
-4.270 1.889 -0.210
-3.408 -1.614 2.761
Bi Si Ta
1 1 1
direct
0.250 0.250 0.250
0.750 0.750 0.750
0.000 0.000 0.000

***

Record 3
TaSiBi GGA-PBE optimized geometry; space group = F-43m, No. 216; ΔE to the lowest computed polymorph = 0 meV per atom; M_tot = 0.001 μB/atom
1.0
0.000 3.225 3.225
3.225 0.000 3.225
3.225 3.225 0.000
Bi Si Ta
1 1 1
direct
0.250 0.250 0.250
0.000 0.000 0.000
0.750 0.750 0.750

***

Record 4
TbSiBi GGA-PBE optimized geometry; space group = F-43m, No. 216; ΔE to the lowest computed polymorph = 0 meV per atom; M_tot = 0.003 μB/atom
1.0
0.000 3.486 3.486
3.486 0.000 3.486
3.486 3.486 0.000
Bi Si Tb
1 1 1
direct
0.250 0.250 0.250
0.000 0.000 0.000
0.750 0.750 0.750

***

Record 5
Si2Tc2Bi GGA-PBE optimized geometry; space group = I4/mmm, No. 139; M_tot = 0.072 μB/atom
1.0
-1.780 1.780 6.571
1.780 -1.780 6.571
1.780 1.780 -6.571
Bi Si Tc
1 2 2
direct
0.000 0.000 0.000
0.750 0.250 0.500
0.250 0.750 0.500
0.381 0.381 0.000
0.619 0.619 0.000

***

Record 6
ThSiBi GGA-PBE optimized geometry; space group = F-43m, No. 216; M_tot = 0.000 μB/atom
1.0
-2.588 -2.096 3.687
-3.710 2.499 2.164
-4.708 -1.399 -0.752
Bi Si Th
1 1 1
direct
0.250 0.250 0.250
0.000 0.000 0.000
0.750 0.750 0.750

***

Quick rundown of calculated total energy, same order as above: -3.741 -6.328 -6.333 -4.819 -7.230 -5.694 eV per atom